Material: Ac2CdIn3
Method: DFT, PBE
State: optimized geometry

Calculated values
Formation energy (meV per atom): -448
Size of the total moment (μB/f.u.): 0.01
VASP energy (eV per atom): -3.339
E above lowest polymorph (meV/atom): 0.0

a b c (Å): 11.9846 5.1098 8.1266
angles (deg): 90.00 132.58 90.00
Fractional positions:
Ac  0.0000  0.0000  0.0000
Ac  0.0709  0.0000  0.5709
Ac  0.5000  0.5000  0.0000
Ac  0.5709  0.5000  0.5709
Cd  0.2021  0.5000  0.3965
Cd  0.7021  0.0000  0.3965
In  0.1988  0.5000  0.9946
In  0.3690  0.0000  0.5755
In  0.3765  0.0000  0.1696
In  0.6988  0.0000  0.9946
In  0.8690  0.5000  0.5755
In  0.8765  0.5000  0.1696